# ZrTlH

An optimized crystal structure of ZrTlH (PBE, Alexandria via LeMat-Bulk).

Calculated values
- total energy (eV per atom) = -4.905
- magnetic moment (Bohr magnetons per cell) = 0.000
- DOS at the Fermi energy (states/eV per atom) = 0.5578

a b c (Å): 10.6332 10.6332 6.3294
angles (deg): 98.36 98.36 17.50
With the nearest neighbours (Å) after each atom.
Fractional coordinates of all 12 atoms:
Zr 0.1856 0.1856 0.0889  4 H 2.07-2.09
Zr 0.1862 0.1862 0.5992  4 H 2.06-2.10
Zr 0.8138 0.8138 0.4008  4 H 2.06-2.10
Zr 0.8144 0.8144 0.9111  4 H 2.07-2.09
Tl 0.0554 0.0554 0.7791  2 Zr 3.12-3.13, 4 Tl 3.22-3.23
Tl 0.4214 0.4214 0.7093  4 Zr 3.19-3.20, 4 Tl 3.22-3.23
Tl 0.5786 0.5786 0.2907  4 Zr 3.19-3.20, 4 Tl 3.22-3.23
Tl 0.9446 0.9446 0.2209  2 Zr 3.12-3.13, 4 Tl 3.22-3.23
H 0.2497 0.2497 0.3752  4 Zr 2.09-2.10, 4 H 2.26
H 0.2520 0.2520 0.8754  4 Zr 2.06-2.08, 4 H 2.26-2.27
H 0.7480 0.7480 0.1246  4 Zr 2.06-2.08, 4 H 2.26-2.27
H 0.7503 0.7503 0.6248  4 Zr 2.09-2.10, 4 H 2.26

# Ni3HPt

An optimized crystal structure of Ni3HPt (PBE, Alexandria via LeMat-Bulk).

Calculated values
- total energy (eV per atom) = -3.724
- magnetic moment (Bohr magnetons per cell) = 3.274
- DOS at the Fermi energy (states/eV per atom) = 1.7643

a b c (Å): 4.6392 4.6392 4.6392
angles (deg): 90.00 90.00 90.00
With the nearest neighbours (Å) after each atom.
Fractional coordinates of all 5 atoms:
Ni 0.0000 0.0000 0.5000  2 Pt 2.32
Ni 0.0000 0.5000 0.0000  2 Pt 2.32
Ni 0.5000 0.0000 0.0000  2 Pt 2.32
H 0.5000 0.5000 0.5000  12 Ni 3.28
Pt 0.0000 0.0000 0.0000  6 Ni 2.32

# La3CuSi2

An optimized crystal structure of La3CuSi2 (PBE, Alexandria via LeMat-Bulk).

Calculated values
- total energy (eV per atom) = -5.531
- magnetic moment (Bohr magnetons per cell) = 0.000
- DOS at the Fermi energy (states/eV per atom) = 0.9664

a b c (Å): 12.1526 4.3174 11.7233
angles (deg): 90.00 90.00 90.00
With the nearest neighbours (Å) after each atom.
Fractional coordinates of all 24 atoms:
La 0.0592 0.2500 0.1147  1 Cu 3.02, 4 Si 3.14-3.19
La 0.1205 0.7500 0.5615  5 Si 3.09-3.21, 3 Cu 3.19-3.20
La 0.2050 0.2500 0.7934  2 Cu 3.04, 4 Si 3.13-3.19
La 0.2950 0.7500 0.2934  2 Cu 3.04, 4 Si 3.13-3.19
La 0.3795 0.2500 0.0615  5 Si 3.09-3.21, 3 Cu 3.19-3.20
La 0.4408 0.7500 0.6147  1 Cu 3.02, 4 Si 3.14-3.19
La 0.5592 0.2500 0.3853  1 Cu 3.02, 4 Si 3.14-3.19
La 0.6205 0.7500 0.9385  5 Si 3.09-3.21, 3 Cu 3.19-3.20
La 0.7050 0.2500 0.7066  2 Cu 3.04, 4 Si 3.13-3.19
La 0.7950 0.7500 0.2066  2 Cu 3.04, 4 Si 3.13-3.19
La 0.8795 0.2500 0.4385  5 Si 3.09-3.21, 3 Cu 3.19-3.20
La 0.9408 0.7500 0.8853  1 Cu 3.02, 4 Si 3.14-3.19
Cu 0.1314 0.2500 0.3608  3 Si 2.52-2.53
Cu 0.3686 0.7500 0.8608  3 Si 2.52-2.53
Cu 0.6314 0.2500 0.1392  3 Si 2.52-2.53
Cu 0.8686 0.7500 0.6392  3 Si 2.52-2.53
Si 0.0331 0.7500 0.3137  2 Cu 2.53
Si 0.2009 0.7500 0.9872  1 Cu 2.52
Si 0.2991 0.2500 0.4872  1 Cu 2.52
Si 0.4669 0.2500 0.8137  2 Cu 2.53
Si 0.5331 0.7500 0.1863  2 Cu 2.53
Si 0.7009 0.7500 0.5128  1 Cu 2.52
Si 0.7991 0.2500 0.0128  1 Cu 2.52
Si 0.9669 0.2500 0.6863  2 Cu 2.53

# Sm2Dy3Mg2

An optimized crystal structure of Sm2Dy3Mg2 (PBE, Alexandria via LeMat-Bulk).

Calculated values
- formation energy from the elements (eV per atom) = 0.040
- magnetic moment (Bohr magnetons per cell) = 0.612
- DOS at the Fermi energy (states/eV per atom) = 1.3084

a b c (Å): 17.1199 17.1199 3.5110
angles (deg): 90.00 90.00 168.13
With the nearest neighbours (Å) after each atom.
Fractional coordinates of all 7 atoms:
Sm 0.2050 0.7950 0.0000  4 Mg 3.37, 6 Sm 3.51-3.54
Sm 0.7950 0.2050 0.0000  4 Mg 3.37, 6 Sm 3.51-3.54
Dy 0.0730 0.9270 0.0000  4 Mg 3.34, 8 Dy 3.51-3.54
Dy 0.5000 0.5000 0.5000  12 Dy 3.51-3.54
Dy 0.9270 0.0730 0.0000  4 Mg 3.34, 8 Dy 3.51-3.54
Mg 0.3618 0.6382 0.5000  4 Dy 3.34, 4 Sm 3.37, 4 Mg 3.51-3.54
Mg 0.6382 0.3618 0.5000  4 Dy 3.34, 4 Sm 3.37, 4 Mg 3.51-3.54

# Ce2AlAu

An optimized crystal structure of Ce2AlAu (PBE, Alexandria via LeMat-Bulk).

Calculated values
- formation energy from the elements (eV per atom) = -0.449
- magnetic moment (Bohr magnetons per cell) = 0.002
- DOS at the Fermi energy (states/eV per atom) = 1.5346

a b c (Å): 3.2331 3.2331 8.8424
angles (deg): 90.00 90.00 90.00
With the nearest neighbours (Å) after each atom.
Fractional coordinates of all 4 atoms:
Ce 0.0000 0.0000 0.2493  4 Au 3.18, 4 Al 3.18, 4 Ce 3.23
Ce 0.0000 0.0000 0.7507  4 Au 3.18, 4 Al 3.18, 4 Ce 3.23
Al 0.5000 0.5000 0.5000  8 Ce 3.18, 4 Al 3.23
Au 0.5000 0.5000 0.0000  8 Ce 3.18, 4 Au 3.23

# InRuSe

An optimized crystal structure of InRuSe (PBE, Alexandria via LeMat-Bulk).

Calculated values
- total energy (eV per atom) = -5.150
- magnetic moment (Bohr magnetons per cell) = 0.000
- DOS at the Fermi energy (states/eV per atom) = 0.5984

a b c (Å): 7.1277 7.1277 7.1277
angles (deg): 155.43 155.43 35.03
With the nearest neighbours (Å) after each atom.
Fractional coordinates of all 3 atoms:
In 0.0000 0.0000 0.0000  4 In 3.03, 4 Ru 3.10
Ru 0.3354 0.3354 0.0000  4 Se 2.51
Se 0.7398 0.7398 0.0000  4 Ru 2.51

# AcTiNbO6

An optimized crystal structure of AcTiNbO6 (PBE, Alexandria via LeMat-Bulk).

Calculated values
- total energy (eV per atom) = -8.825
- magnetic moment (Bohr magnetons per cell) = 0.000
- DOS at the Fermi energy (states/eV per atom) = 0.0000

a b c (Å): 5.2926 5.2926 10.7274
angles (deg): 90.00 90.00 120.00
With the nearest neighbours (Å) after each atom.
Fractional coordinates of all 18 atoms:
Ac 0.0000 0.0000 0.0000  6 O 2.54
Ac 0.0000 0.0000 0.5000  6 O 2.54
Ti 0.3333 0.6667 0.2500  6 O 1.98
Ti 0.6667 0.3333 0.7500  6 O 1.98
Nb 0.3333 0.6667 0.7500  6 O 2.01
Nb 0.6667 0.3333 0.2500  6 O 2.01
O 0.0050 0.3813 0.1460  1 Ti 1.98, 1 Nb 2.01
O 0.0050 0.6236 0.3540  1 Ti 1.98, 1 Nb 2.01
O 0.3764 0.3813 0.3540  1 Ti 1.98, 1 Nb 2.01
O 0.3764 0.9950 0.1460  1 Ti 1.98, 1 Nb 2.01
O 0.3813 0.0050 0.6460  1 Ti 1.98, 1 Nb 2.01
O 0.3813 0.3764 0.8540  1 Ti 1.98, 1 Nb 2.01
O 0.6187 0.6236 0.1460  1 Ti 1.98, 1 Nb 2.01
O 0.6187 0.9950 0.3540  1 Ti 1.98, 1 Nb 2.01
O 0.6236 0.0050 0.8540  1 Ti 1.98, 1 Nb 2.01
O 0.6236 0.6187 0.6460  1 Ti 1.98, 1 Nb 2.01
O 0.9950 0.3764 0.6460  1 Ti 1.98, 1 Nb 2.01
O 0.9950 0.6187 0.8540  1 Ti 1.98, 1 Nb 2.01

# BaCdI2N

An optimized crystal structure of BaCdI2N (PBE, Alexandria via LeMat-Bulk).

Calculated values
- total energy (eV per atom) = -2.731
- magnetic moment (Bohr magnetons per cell) = 2.813
- DOS at the Fermi energy (states/eV per atom) = 0.8675

a b c (Å): 6.8206 6.8206 5.4420
angles (deg): 90.00 90.00 90.00
With the nearest neighbours (Å) after each atom.
Fractional coordinates of all 5 atoms:
Ba 0.0000 0.0000 0.0000  2 N 2.72
Cd 0.5000 0.5000 0.5000  8 I 4.36, 4 N 4.82
I 0.0000 0.5000 0.0000  2 Ba 3.41
I 0.5000 0.0000 0.0000  2 Ba 3.41
N 0.0000 0.0000 0.5000  2 Ba 2.72

- Which value of magnetic moment does entry 1 give?
  0.000 Bohr magnetons per cell

- Which of these has the lowest DOS at the Fermi energy?
  AcTiNbO6